# 1
## Th2BeAu (GGA-PBE)

Data for a geometry-optimized Th2BeAu structure.

```
data_Th2BeAu
_cell_length_a 3.3908
_cell_length_b 3.3908
_cell_length_c 32.9306
_cell_angle_alpha 90.00
_cell_angle_beta 90.00
_cell_angle_gamma 120.00
_space_group_name_H-M_alt 'R -3 m'
_space_group_IT_number 166
_space_group_name_Hall '-R 3 2"'
loop_
_atom_site_label
_atom_site_fract_x
_atom_site_fract_y
_atom_site_fract_z
Th1 0.0000 0.0000 0.0913
Be1 0.0000 0.0000 0.0000
Au1 0.0000 0.0000 0.5000
```


# 2
## ThBeZn2Au4 (GGA-PBE)

Data for a geometry-optimized ThBeZn2Au4 structure.

```
data_ThBeZn2Au4
_cell_length_a 4.4476
_cell_length_b 4.4476
_cell_length_c 25.6972
_cell_angle_alpha 90.00
_cell_angle_beta 90.00
_cell_angle_gamma 120.00
_space_group_name_H-M_alt 'R -3 m'
_space_group_IT_number 166
_space_group_name_Hall '-R 3 2"'
loop_
_atom_site_label
_atom_site_fract_x
_atom_site_fract_y
_atom_site_fract_z
Th1 0.0000 0.0000 0.0000
Be1 0.0000 0.0000 0.5000
Zn1 0.0000 0.0000 0.2426
Au1 0.0000 0.0000 0.1360
Au2 0.0000 0.0000 0.4009
```


# 3
## TiBe3Au (GGA-PBE)

Data for a geometry-optimized TiBe3Au structure.

```
data_TiBe3Au
_cell_length_a 4.237
_cell_length_b 4.237
_cell_length_c 4.237
_cell_angle_alpha 90.00
_cell_angle_beta 90.00
_cell_angle_gamma 90.00
_space_group_name_H-M_alt 'P m -3 m'
_space_group_IT_number 221
_space_group_name_Hall '-P 4 2 3'
loop_
_atom_site_label
_atom_site_fract_x
_atom_site_fract_y
_atom_site_fract_z
Ti1 0.000 0.000 0.000
Be1 0.000 0.500 0.500
Au1 0.500 0.500 0.500
```


# 4
## TiBe17Au (GGA-PBE)

Data for a geometry-optimized TiBe17Au structure.

```
data_TiBe17Au
_cell_length_a 7.3587
_cell_length_b 7.3587
_cell_length_c 10.8379
_cell_angle_alpha 90.00
_cell_angle_beta 90.00
_cell_angle_gamma 120.00
_space_group_name_H-M_alt 'R 3 m'
_space_group_IT_number 160
_space_group_name_Hall 'R 3 -2"'
loop_
_atom_site_label
_atom_site_fract_x
_atom_site_fract_y
_atom_site_fract_z
Ti1 0.0000 0.0000 0.0000
Be1 0.0000 0.0000 0.2385
Be2 0.0000 0.0000 0.4382
Be3 0.0010 0.5005 0.1853
Be4 0.0016 0.2999 0.3380
Be5 0.0040 0.5020 0.4983
Be6 0.0162 0.5081 0.8315
Au1 0.0000 0.0000 0.6968
```


# 5
## Ti2Be2Au (GGA-PBE)

Data for a geometry-optimized Ti2Be2Au structure.

```
data_Ti2Be2Au
_cell_length_a 6.140
_cell_length_b 6.140
_cell_length_c 3.547
_cell_angle_alpha 90.00
_cell_angle_beta 90.00
_cell_angle_gamma 90.00
_space_group_name_H-M_alt 'P 4/m b m'
_space_group_IT_number 127
_space_group_name_Hall '-P 4 2ab'
loop_
_atom_site_label
_atom_site_fract_x
_atom_site_fract_y
_atom_site_fract_z
Ti1 0.167 0.333 0.000
Be1 0.125 0.625 0.500
Au1 0.000 0.000 0.500
```


# 6
## Ti2BeAu (GGA-PBE)

Data for a geometry-optimized Ti2BeAu structure.

```
data_Ti2BeAu
_cell_length_a 3.613
_cell_length_b 3.613
_cell_length_c 19.487
_cell_angle_alpha 90.00
_cell_angle_beta 90.00
_cell_angle_gamma 90.00
_space_group_name_H-M_alt 'I -4 2 d'
_space_group_IT_number 122
_space_group_name_Hall 'I -4 2bw'
loop_
_atom_site_label
_atom_site_fract_x
_atom_site_fract_y
_atom_site_fract_z
Ti1 0.244 0.250 0.125
Be1 0.000 0.000 0.000
Au1 0.000 0.000 0.500
```


# 7
## Ti2BeAu (GGA-PBE)

Data for a geometry-optimized Ti2BeAu structure.

```
data_Ti2BeAu
_cell_length_a 2.844
_cell_length_b 2.844
_cell_length_c 7.376
_cell_angle_alpha 90.00
_cell_angle_beta 90.00
_cell_angle_gamma 90.00
_space_group_name_H-M_alt 'P 4/m m m'
_space_group_IT_number 123
_space_group_name_Hall '-P 4 2'
loop_
_atom_site_label
_atom_site_fract_x
_atom_site_fract_y
_atom_site_fract_z
Ti1 0.000 0.000 0.215
Be1 0.500 0.500 0.000
Au1 0.500 0.500 0.500
```


# 8
## TiBe2Au2 (GGA-PBE)

Data for a geometry-optimized TiBe2Au2 structure.

```
data_TiBe2Au2
_cell_length_a 7.209
_cell_length_b 7.209
_cell_length_c 2.743
_cell_angle_alpha 90.00
_cell_angle_beta 90.00
_cell_angle_gamma 90.00
_space_group_name_H-M_alt 'P 4/m b m'
_space_group_IT_number 127
_space_group_name_Hall '-P 4 2ab'
loop_
_atom_site_label
_atom_site_fract_x
_atom_site_fract_y
_atom_site_fract_z
Ti1 0.000 0.000 0.000
Be1 0.160 0.340 0.500
Au1 0.140 0.640 0.000
```


no.,electronic total energy (eV for the cell shown)
1,-58.6
2,-88.7
3,-19.7
4,-229.6
5,-56.5
6,-86.5
7,-23.6
8,-44.5